# 1
VASP calculation (PBE) on an optimized crystal structure of Zr2SbMo.

Properties
Total magnetization (μB per cell): 0.0
Uncorrected formation energy (meV per atom): -197
Uncorrected energy (eV/atom): -8.2095

Cell lengths 4.427, 4.427, 8.276 Å; angles 90.00, 90.00, 90.00 degrees
Space group I4/mmm (No. 139)
One atom of each set of equivalent atoms:
Zr 0.000 0.500 0.250
Sb 0.000 0.000 0.000
Mo 0.000 0.000 0.500



# 2
VASP calculation (PBE) on an optimized crystal structure of ScSnTe.

Properties
Total magnetization (μB per cell): 0.0
Uncorrected formation energy (meV per atom): -514
Uncorrected energy (eV/atom): -5.0061

Cell lengths 4.290, 19.868, 4.196 Å; angles 90.00, 90.00, 90.00 degrees
Space group Cmcm (No. 63)
One atom of each set of equivalent atoms:
Sc 0.000 0.080 0.250
Sn 0.000 0.443 0.250
Te 0.000 0.179 0.750



# 3
VASP calculation (PBE) on an optimized crystal structure of TiP2RuS.

Properties
Total magnetization (μB per cell): 2.0
Uncorrected formation energy (meV per atom): 670
Uncorrected energy (eV/atom): -5.7541

Cell lengths 4.658, 4.658, 4.542 Å; angles 90.00, 90.00, 90.00 degrees
Space group P4/mmm (No. 123)
One atom of each set of equivalent atoms:
Ti 0.000 0.000 0.000
P 0.000 0.500 0.000
Ru 0.500 0.500 0.500
S 0.000 0.000 0.500



Copy entry 3 word for word.
VASP calculation (PBE) on an optimized crystal structure of TiP2RuS.

Properties
Total magnetization (μB per cell): 2.0
Uncorrected formation energy (meV per atom): 670
Uncorrected energy (eV/atom): -5.7541

Cell lengths 4.658, 4.658, 4.542 Å; angles 90.00, 90.00, 90.00 degrees
Space group P4/mmm (No. 123)
One atom of each set of equivalent atoms:
Ti 0.000 0.000 0.000
P 0.000 0.500 0.000
Ru 0.500 0.500 0.500
S 0.000 0.000 0.500